{"formula": "Tm3AsS2", "functional": "GGA-PBE", "state": "relaxed", "lattice_angstrom": [[-2.391, -2.529, -1.815], [1.124, -3.826, 3.850], [-3.869, 5.112, 2.219]], "species": ["Tm", "Tm", "Tm", "S", "S", "As"], "fractional_positions": [[0.831, 0.331, 0.162], [0.500, 0.000, 0.500], [0.169, 0.669, 0.838], [0.166, 0.166, 0.832], [0.834, 0.834, 0.168], [0.500, 0.500, 0.500]], "space_group": "No. 71", "crystal_system": "orthorhombic", "dft_energy_ev_per_cell": -37.205}


{"formula": "Tm2AsS", "functional": "GGA-PBE", "state": "relaxed", "lattice_angstrom": [[3.971, 0.000, 0.000], [1.985, 3.439, 0.000], [1.985, 1.146, 6.423]], "species": ["S", "Tm", "Tm", "As"], "fractional_positions": [[0.500, 0.500, 0.500], [0.751, 0.751, 0.748], [0.249, 0.249, 0.252], [0.000, 0.000, 0.000]], "space_group": "No. 166", "crystal_system": "trigonal", "de_polymorph_mev_per_atom": 6}


{"formula": "Tm3AsS3", "functional": "GGA-PBE", "state": "relaxed", "lattice_angstrom": [[-4.376, 1.845, -6.150], [2.181, -2.210, -7.123], [-4.063, -5.679, -3.721]], "species": ["S", "S", "S", "S", "S", "S", "As", "As", "Tm", "Tm", "Tm", "Tm", "Tm", "Tm"], "fractional_positions": [[0.371, 0.830, 0.673], [0.127, 0.371, 0.673], [0.629, 0.170, 0.327], [0.830, 0.127, 0.673], [0.170, 0.873, 0.327], [0.873, 0.629, 0.327], [0.667, 0.667, 0.999], [0.333, 0.333, 0.001], [0.927, 0.292, 0.261], [0.292, 0.520, 0.261], [0.073, 0.708, 0.739], [0.708, 0.480, 0.739], [0.520, 0.927, 0.261], [0.480, 0.073, 0.739]], "space_group": "No. 148", "crystal_system": "trigonal", "dft_energy_ev_per_cell": -85.609}


{"formula": "TmAsS2", "functional": "GGA-PBE", "state": "relaxed", "lattice_angstrom": [[3.715, 0.000, 0.000], [1.857, 3.217, 0.000], [1.857, 1.072, 8.157]], "species": ["S", "S", "As", "Tm"], "fractional_positions": [[0.108, 0.108, 0.675], [0.892, 0.892, 0.325], [0.500, 0.500, 0.500], [0.000, 0.000, 0.000]], "space_group": "No. 166", "crystal_system": "trigonal", "dft_energy_ev_per_cell": -18.649}


What is the formula in the first record?
Tm3AsS2


What is the formula in the fourth record?
TmAsS2